1.
Computed, not measured: a crystal of Sr4Li2Ta2Al2N8O relaxed with PBEsol at the SCAN level of DFT.

Symmetry: P2_1/c
Total magnetic moment, μB per atom: 0.0000
Uncorrected formation energy, eV per atom: -1.549
Theoretical density, g cm⁻³: 5.43
Calculated total energy, eV/atom: -18.5546

abc: 5.991 9.327 9.967
angles: 90.00 90.00 93.90
Positions (direct):
N1 0.409 0.408 0.697
Sr1 0.507 0.073 0.242
N2 0.976 0.798 0.088
Al1 0.483 0.595 0.748
Ta1 0.463 0.237 0.598
N3 0.217 0.093 0.629
N4 0.239 0.670 0.834
Sr2 0.467 0.702 0.065
Sr3 0.493 0.927 0.758
Sr4 0.007 0.573 0.258
N5 0.283 0.407 0.129
N6 0.524 0.702 0.588
Sr5 0.533 0.298 0.935
N7 0.591 0.592 0.303
Al2 0.983 0.095 0.752
N8 0.476 0.298 0.412
N9 0.909 0.908 0.803
N10 0.024 0.202 0.912
Al3 0.517 0.405 0.252
Li1 0.305 0.495 0.512
O1 0.500 0.000 0.000
Ta2 0.963 0.737 0.902
Ta3 0.037 0.263 0.098
N11 0.761 0.330 0.166
N12 0.717 0.593 0.871
Sr6 0.033 0.798 0.565
Sr7 0.993 0.427 0.742
Sr8 0.967 0.202 0.435
N13 0.261 0.830 0.334
N14 0.783 0.907 0.371
Li2 0.805 0.995 0.988
Ta4 0.537 0.763 0.402
N15 0.091 0.092 0.197
Al4 0.017 0.905 0.248
Li3 0.195 0.005 0.012
N16 0.739 0.170 0.666
O2 0.000 0.500 0.500
Li4 0.695 0.505 0.488

2.
Computed, not measured: a crystal of NaLi3Al relaxed with PBEsol at the SCAN level of DFT.

Symmetry: Pm-3m
Total magnetic moment, μB per atom: 0.1913
Formation enthalpy at 0 K, eV per atom: 0.202
Theoretical density, g cm⁻³: 0.87
Calculated total energy, eV/atom: -3.6257

abc: 5.131 5.131 5.131
angles: 90.00 90.00 90.00
Site moments in Bohr magnetons follow the coordinates.
Positions (direct):
Al1 0.000 0.000 0.000  0.15
Na1 0.500 0.500 0.500  -0.02
Li1 0.500 0.000 0.000  0.03
Li2 0.000 0.500 0.000  0.03
Li3 0.000 0.000 0.500  0.03

3.
Computed, not measured: a crystal of Na2Li3Ti3AlP6O24 relaxed with PBEsol at the SCAN level of DFT.

Symmetry: R3
Total magnetic moment, μB per atom: 0.0513
Uncorrected formation energy, eV per atom: -2.750
Theoretical density, g cm⁻³: 2.98
Calculated total energy, eV/atom: -10.0162

abc: 8.380 8.380 8.842
angles: 61.72 61.72 60.00
Site moments in Bohr magnetons follow the coordinates.
Positions (direct):
P1 0.042 0.749 0.755  0.00
O1 0.498 0.116 0.085  -0.01
O2 0.976 0.249 0.428  0.00
O3 0.698 0.483 0.933  0.00
O4 0.017 0.961 0.714  0.00
O5 0.308 0.017 0.714  0.00
O6 0.597 0.759 0.247  -0.01
Li1 0.420 0.778 0.657  0.00
Ti1 0.351 0.351 0.947  0.60
Na1 0.504 0.504 0.488  0.00
O7 0.249 0.347 0.428  0.00
Li2 0.778 0.145 0.657  0.00
Na2 0.992 0.992 0.024  0.00
O8 0.301 0.498 0.085  -0.01
O9 0.027 0.712 0.607  0.00
Ti2 0.642 0.642 0.074  0.60
Al1 0.149 0.149 0.552  0.00
P2 0.453 0.042 0.755  0.00
O10 0.975 0.046 0.288  -0.01
O11 0.691 0.975 0.288  -0.01
O12 0.712 0.654 0.607  0.00
O13 0.347 0.976 0.428  0.00
O14 0.483 0.887 0.933  0.00
O15 0.046 0.691 0.288  -0.01
O16 0.364 0.253 0.762  0.00
O17 0.253 0.621 0.762  0.00
O18 0.654 0.027 0.607  0.00
O19 0.759 0.397 0.247  -0.01
P3 0.248 0.532 0.261  0.01
O20 0.961 0.308 0.714  0.00
P4 0.959 0.248 0.261  0.01
O21 0.116 0.301 0.085  -0.01
Ti3 0.850 0.850 0.449  0.68
P5 0.749 0.453 0.755  0.00
O22 0.887 0.698 0.933  0.00
O23 0.621 0.364 0.762  0.00
P6 0.532 0.959 0.261  0.01
O24 0.397 0.597 0.247  -0.01
Li3 0.145 0.420 0.657  0.00

- Which of these has the lowest theoretical density?
  NaLi3Al